[1]
This record from the Alexandria database describes a relaxed Zr2ZnCl crystal. The functional is GGA-PBE.

The space group is Pmmm (No. 47) and the conventional cell measures 3.157, 3.221 and 7.971 Å, with angles of 90.00, 90.00 and 90.00 degrees. Symmetry generates all atoms from Zr at (0.000, 0.000, 0.221), Zn at (0.500, 0.500, 0.000) and Cl at (0.500, 0.000, 0.500).

The crystal system is orthorhombic. The calculation puts the energy above the most stable polymorph in this dataset at 0.000 eV per atom. The value obtained for the uncorrected formation energy is -0.4794 eV per atom.

[2]
This record from the Alexandria database describes a relaxed CsC3Se3N3 crystal. The functional is GGA-PBE.

The space group is C2/c (No. 15) and the conventional cell measures 8.667, 21.709 and 5.771 Å, with angles of 90.00, 99.74 and 90.00 degrees. Symmetry generates all atoms from Cs at (0.000, 0.226, 0.250), C at (0.000, 0.356, 0.750), C at (0.221, 0.120, 0.816), Se at (0.000, 0.441, 0.750), Se at (0.198, 0.061, 0.031), N at (0.000, 0.302, 0.750) and N at (0.234, 0.160, 0.682).

The crystal system is monoclinic. The value obtained for the uncorrected formation energy is 0.1502 eV per atom.

> What is the formula in the first record?

Zr2ZnCl